(1)
## Ba3NaSr4 (PBE)

Data for crystalline Ba3NaSr4 at its relaxed geometry.

POSCAR file:
```
Ba3NaSr4
1.0
-0.305 -3.765 2.865
2.577 -2.540 -3.063
16.700 5.726 9.303
Na Ba Sr
1 3 4
direct
0.500 0.500 0.000
0.500 0.500 0.243
0.500 0.500 0.500
0.500 0.500 0.757
0.000 0.000 0.892
0.000 0.000 0.108
0.000 0.000 0.372
0.000 0.000 0.628
```

Values from the calculation:
- Energy of formation: 0.09 eV/f.u.
- Volume: 448.5 Å³/f.u.
- Crystal system: tetragonal
- Fermi-level density of states: 1.127 states/eV per atom

***

(2)
## MnCoRu (PBE)

Data for crystalline MnCoRu at its relaxed geometry.

POSCAR file:
```
MnCoRu
1.0
2.572 0.000 0.000
0.000 3.847 0.000
-1.286 0.000 7.395
Ru Co Mn
2 2 2
direct
0.706 0.750 0.412
0.294 0.250 0.588
0.460 0.250 0.919
0.540 0.750 0.081
0.887 0.750 0.775
0.113 0.250 0.225
```

Values from the calculation:
- Energy of formation: 0.53 eV/f.u.
- Volume: 36.6 Å³/f.u.
- Crystal system: orthorhombic
- Fermi-level density of states: 1.260 states/eV per atom

***

(3)
## Ta2MnAl (PBE)

Data for crystalline Ta2MnAl at its relaxed geometry.

POSCAR file:
```
Ta2MnAl
1.0
5.132 0.009 -0.009
4.088 3.103 -0.009
1.928 0.651 3.950
Mn Al Ta
1 1 2
direct
0.250 0.250 0.250
0.750 0.750 0.750
0.981 0.981 0.019
0.519 0.519 0.481
```

Values from the calculation:
- Energy of formation: -0.50 eV/f.u.
- Volume: 62.8 Å³/f.u.
- Crystal system: orthorhombic
- Fermi-level density of states: 0.545 states/eV per atom

***

(4)
## YFe2NCl (PBE)

Data for crystalline YFe2NCl at its relaxed geometry.

POSCAR file:
```
YFe2NCl
1.0
-3.483 -1.015 -0.538
0.885 -4.736 3.209
-1.003 1.848 3.005
Y N Fe Cl
1 1 2 1
direct
0.500 0.500 0.500
0.000 0.000 0.000
0.000 0.000 0.500
0.500 0.000 0.000
0.000 0.500 0.000
```

Values from the calculation:
- Volume: 77.9 Å³/f.u.
- Crystal system: tetragonal
- Formation energy without anion corrections: -1.9 eV per formula unit
- Fermi-level density of states: 0.856 states/eV per atom

***

(5)
## LiNpCuO5 (PBE)

Data for crystalline LiNpCuO5 at its relaxed geometry.

POSCAR file:
```
LiNpCuO5
1.0
-3.922 3.981 -1.352
3.180 -2.152 -4.280
-4.581 -6.181 1.835
Li Np Cu O
2 2 2 10
direct
0.293 0.707 0.250
0.707 0.293 0.750
0.000 0.000 0.500
0.000 0.000 0.000
0.700 0.300 0.250
0.300 0.700 0.750
0.090 0.910 0.250
0.910 0.090 0.750
0.968 0.317 0.133
0.032 0.683 0.867
0.683 0.032 0.367
0.317 0.968 0.633
0.746 0.607 0.439
0.254 0.393 0.561
0.393 0.254 0.061
0.607 0.746 0.939
```

Values from the calculation:
- Volume: 107.0 Å³/f.u.
- Crystal system: monoclinic
- Formation energy without anion corrections: -15.0 eV per formula unit
- Fermi-level density of states: 0.408 states/eV per atom

***

(6)
## Os2Ru (PBE)

Data for crystalline Os2Ru at its relaxed geometry.

POSCAR file:
```
Os2Ru
1.0
-0.870 -4.149 0.907
2.501 -0.287 1.086
-3.801 2.073 5.838
Os Ru
4 2
direct
0.750 0.555 0.110
0.250 0.445 0.890
0.750 0.222 0.443
0.250 0.778 0.557
0.750 0.889 0.779
0.250 0.111 0.221
```

Values from the calculation:
- Energy of formation: -0.02 eV/f.u.
- Volume: 42.4 Å³/f.u.
- Crystal system: orthorhombic
- Fermi-level density of states: 0.680 states/eV per atom